[1]
An optimized crystal structure of HfAg3Pb, computed with GGA-PBE.

Summary:
- Energy of formation: 1.156 eV/atom
- M_tot: 1.91 μB/f.u.
- Relative energy among the computed polymorphs: 17.1 kJ/mol of atoms

Geometry as CIF:
```
data_HfAg3Pb
_chemical_formula_sum 'Hf1 Ag3 Pb1'
_symmetry_space_group_name_H-M 'P 1'
_symmetry_Int_Tables_number 1
_symmetry_space_group_name_Hall 'P 1'
_cell_length_a 5.1735
_cell_length_b 5.1735
_cell_length_c 5.1735
_cell_angle_alpha 90.00
_cell_angle_beta 90.00
_cell_angle_gamma 90.00
loop_
_atom_site_label
_atom_site_type_symbol
_atom_site_fract_x
_atom_site_fract_y
_atom_site_fract_z
Ag1 Ag 0.0000 0.0000 0.5000
Hf1 Hf 0.5000 0.5000 0.5000
Ag2 Ag 0.0000 0.5000 0.0000
Pb1 Pb 0.0000 0.0000 0.0000
Ag3 Ag 0.5000 0.0000 0.0000
```

***

[2]
An optimized crystal structure of Hf2AgPb, computed with GGA-PBE.

Summary:
- Energy of formation: 0.339 eV/atom
- M_tot: 0.00 μB/f.u.
- Relative energy among the computed polymorphs: 29.4 kJ/mol of atoms

Geometry as CIF:
```
data_Hf2AgPb
_chemical_formula_sum 'Hf4 Ag2 Pb2'
_symmetry_space_group_name_H-M 'P 1'
_symmetry_Int_Tables_number 1
_symmetry_space_group_name_Hall 'P 1'
_cell_length_a 7.8482
_cell_length_b 7.8482
_cell_length_c 6.3132
_cell_angle_alpha 51.57
_cell_angle_beta 51.57
_cell_angle_gamma 90.00
loop_
_atom_site_label
_atom_site_type_symbol
_atom_site_fract_x
_atom_site_fract_y
_atom_site_fract_z
Pb1 Pb 0.7500 0.2500 0.5000
Ag1 Ag 0.2500 0.7500 0.5000
Hf1 Hf 0.1435 0.6250 0.2500
Hf2 Hf 0.8750 0.8565 0.7500
Ag2 Ag 0.5000 0.5000 0.0000
Hf3 Hf 0.3750 0.3935 0.7500
Hf4 Hf 0.6065 0.1250 0.2500
Pb2 Pb 0.0000 0.0000 0.0000
```

***

[3]
An optimized crystal structure of HfAg2Pb2, computed with GGA-PBE.

Summary:
- Energy of formation: 0.290 eV/atom
- M_tot: 0.00 μB/f.u.
- Relative energy among the computed polymorphs: 3.8 kJ/mol of atoms

Geometry as CIF:
```
data_HfAg2Pb2
_chemical_formula_sum 'Hf1 Ag2 Pb2'
_symmetry_space_group_name_H-M 'P 1'
_symmetry_Int_Tables_number 1
_symmetry_space_group_name_Hall 'P 1'
_cell_length_a 3.8421
_cell_length_b 3.8421
_cell_length_c 8.6342
_cell_angle_alpha 77.14
_cell_angle_beta 77.14
_cell_angle_gamma 90.00
loop_
_atom_site_label
_atom_site_type_symbol
_atom_site_fract_x
_atom_site_fract_y
_atom_site_fract_z
Ag1 Ag 0.2500 0.7500 0.5000
Ag2 Ag 0.7500 0.2500 0.5000
Pb1 Pb 0.6003 0.6003 0.7993
Hf1 Hf 0.0000 0.0000 0.0000
Pb2 Pb 0.3997 0.3997 0.2007
```

***

[4]
An optimized crystal structure of Hf2AgPb2, computed with GGA-PBE.

Summary:
- Energy of formation: 0.222 eV/atom
- M_tot: 0.00 μB/f.u.
- Relative energy among the computed polymorphs: 0.0 kJ/mol of atoms

Geometry as CIF:
```
data_Hf2AgPb2
_chemical_formula_sum 'Hf4 Ag2 Pb4'
_symmetry_space_group_name_H-M 'P 1'
_symmetry_Int_Tables_number 1
_symmetry_space_group_name_Hall 'P 1'
_cell_length_a 7.4968
_cell_length_b 7.4968
_cell_length_c 4.3118
_cell_angle_alpha 90.00
_cell_angle_beta 90.00
_cell_angle_gamma 90.00
loop_
_atom_site_label
_atom_site_type_symbol
_atom_site_fract_x
_atom_site_fract_y
_atom_site_fract_z
Pb1 Pb 0.6684 0.8316 0.5000
Pb2 Pb 0.3316 0.1684 0.5000
Hf1 Hf 0.8606 0.6394 0.0000
Hf2 Hf 0.6394 0.1394 0.0000
Ag1 Ag 0.0000 0.0000 0.0000
Hf3 Hf 0.3606 0.8606 0.0000
Hf4 Hf 0.1394 0.3606 0.0000
Ag2 Ag 0.5000 0.5000 0.0000
Pb3 Pb 0.8316 0.3316 0.5000
Pb4 Pb 0.1684 0.6684 0.5000
```

***

[5]
An optimized crystal structure of Hf2AgPb2, computed with GGA-PBE.

Summary:
- Energy of formation: 0.264 eV/atom
- M_tot: 0.00 μB/f.u.
- Relative energy among the computed polymorphs: 4.0 kJ/mol of atoms

Geometry as CIF:
```
data_Hf2AgPb2
_chemical_formula_sum 'Hf4 Ag2 Pb4'
_symmetry_space_group_name_H-M 'P 1'
_symmetry_Int_Tables_number 1
_symmetry_space_group_name_Hall 'P 1'
_cell_length_a 8.5749
_cell_length_b 8.5749
_cell_length_c 3.3144
_cell_angle_alpha 90.00
_cell_angle_beta 90.00
_cell_angle_gamma 90.00
loop_
_atom_site_label
_atom_site_type_symbol
_atom_site_fract_x
_atom_site_fract_y
_atom_site_fract_z
Ag1 Ag 0.5000 0.5000 0.0000
Hf1 Hf 0.1294 0.6294 0.5000
Pb1 Pb 0.6680 0.1680 0.0000
Ag2 Ag 0.0000 0.0000 0.0000
Hf2 Hf 0.8706 0.3706 0.5000
Pb2 Pb 0.3320 0.8320 0.0000
Pb3 Pb 0.1680 0.3320 0.0000
Pb4 Pb 0.8320 0.6680 0.0000
Hf3 Hf 0.3706 0.1294 0.5000
Hf4 Hf 0.6294 0.8706 0.5000
```

***

[6]
An optimized crystal structure of HfAg2Pb2, computed with GGA-PBE.

Summary:
- Energy of formation: 0.277 eV/atom
- M_tot: 0.00 μB/f.u.
- Relative energy among the computed polymorphs: 2.6 kJ/mol of atoms

Geometry as CIF:
```
data_HfAg2Pb2
_chemical_formula_sum 'Hf2 Ag4 Pb4'
_symmetry_space_group_name_H-M 'P 1'
_symmetry_Int_Tables_number 1
_symmetry_space_group_name_Hall 'P 1'
_cell_length_a 8.3158
_cell_length_b 8.3158
_cell_length_c 3.3878
_cell_angle_alpha 90.00
_cell_angle_beta 90.00
_cell_angle_gamma 90.00
loop_
_atom_site_label
_atom_site_type_symbol
_atom_site_fract_x
_atom_site_fract_y
_atom_site_fract_z
Pb1 Pb 0.6655 0.1655 0.0000
Pb2 Pb 0.8345 0.6655 0.0000
Hf1 Hf 0.5000 0.5000 0.0000
Pb3 Pb 0.1655 0.3345 0.0000
Ag1 Ag 0.1329 0.6329 0.5000
Hf2 Hf 0.0000 0.0000 0.0000
Ag2 Ag 0.6329 0.8671 0.5000
Ag3 Ag 0.8671 0.3671 0.5000
Ag4 Ag 0.3671 0.1329 0.5000
Pb4 Pb 0.3345 0.8345 0.0000
```

***

[7]
An optimized crystal structure of HfAg2Pb, computed with GGA-PBE.

Summary:
- Energy of formation: 0.366 eV/atom
- M_tot: 0.00 μB/f.u.

Geometry as CIF:
```
data_HfAg2Pb
_chemical_formula_sum 'Hf1 Ag2 Pb1'
_symmetry_space_group_name_H-M 'P 1'
_symmetry_Int_Tables_number 1
_symmetry_space_group_name_Hall 'P 1'
_cell_length_a 3.1008
_cell_length_b 3.1008
_cell_length_c 11.2074
_cell_angle_alpha 82.05
_cell_angle_beta 82.05
_cell_angle_gamma 60.00
loop_
_atom_site_label
_atom_site_type_symbol
_atom_site_fract_x
_atom_site_fract_y
_atom_site_fract_z
Ag1 Ag 0.9168 0.9168 0.2497
Pb1 Pb 0.5000 0.5000 0.5000
Ag2 Ag 0.0832 0.0832 0.7503
Hf1 Hf 0.0000 0.0000 0.0000
```

***

[8]
An optimized crystal structure of HfAg2Pb, computed with GGA-PBE.

Summary:
- Energy of formation: 0.340 eV/atom
- M_tot: 0.00 μB/f.u.

Geometry as CIF:
```
data_HfAg2Pb
_chemical_formula_sum 'Hf2 Ag4 Pb2'
_symmetry_space_group_name_H-M 'P 1'
_symmetry_Int_Tables_number 1
_symmetry_space_group_name_Hall 'P 1'
_cell_length_a 7.8923
_cell_length_b 7.8923
_cell_length_c 6.3152
_cell_angle_alpha 51.33
_cell_angle_beta 51.33
_cell_angle_gamma 90.00
loop_
_atom_site_label
_atom_site_type_symbol
_atom_site_fract_x
_atom_site_fract_y
_atom_site_fract_z
Ag1 Ag 0.8750 0.8672 0.7500
Hf1 Hf 0.5000 0.5000 0.0000
Ag2 Ag 0.6172 0.1250 0.2500
Ag3 Ag 0.1328 0.6250 0.2500
Ag4 Ag 0.3750 0.3828 0.7500
Hf2 Hf 0.2500 0.7500 0.5000
Pb1 Pb 0.0000 0.0000 0.0000
Pb2 Pb 0.7500 0.2500 0.5000
```

***

[9]
An optimized crystal structure of HfAg2Pb, computed with GGA-PBE.

Summary:
- Energy of formation: 0.099 eV/atom
- M_tot: 0.39 μB/f.u.

Geometry as CIF:
```
data_HfAg2Pb
_chemical_formula_sum 'Hf1 Ag2 Pb1'
_symmetry_space_group_name_H-M 'P 1'
_symmetry_Int_Tables_number 1
_symmetry_space_group_name_Hall 'P 1'
_cell_length_a 3.6219
_cell_length_b 3.6219
_cell_length_c 6.6063
_cell_angle_alpha 90.00
_cell_angle_beta 90.00
_cell_angle_gamma 90.00
loop_
_atom_site_label
_atom_site_type_symbol
_atom_site_fract_x
_atom_site_fract_y
_atom_site_fract_z
Ag1 Ag 0.0000 0.0000 0.7772
Pb1 Pb 0.5000 0.5000 0.5000
Ag2 Ag 0.0000 0.0000 0.2228
Hf1 Hf 0.5000 0.5000 0.0000
```

***

[10]
An optimized crystal structure of HfAg3Pb, computed with GGA-PBE.

Summary:
- Energy of formation: 0.978 eV/atom
- M_tot: 0.00 μB/f.u.
- Relative energy among the computed polymorphs: 0.0 kJ/mol of atoms

Geometry as CIF:
```
data_HfAg3Pb
_chemical_formula_sum 'Hf1 Ag3 Pb1'
_symmetry_space_group_name_H-M 'P 1'
_symmetry_Int_Tables_number 1
_symmetry_space_group_name_Hall 'P 1'
_cell_length_a 5.2602
_cell_length_b 5.2602
_cell_length_c 5.2602
_cell_angle_alpha 90.00
_cell_angle_beta 90.00
_cell_angle_gamma 90.00
loop_
_atom_site_label
_atom_site_type_symbol
_atom_site_fract_x
_atom_site_fract_y
_atom_site_fract_z
Ag1 Ag 0.5000 0.0000 0.0000
Hf1 Hf 0.0000 0.0000 0.0000
Ag2 Ag 0.0000 0.5000 0.0000
Ag3 Ag 0.0000 0.0000 0.5000
Pb1 Pb 0.5000 0.5000 0.5000
```

***

[11]
An optimized crystal structure of HfAg2Pb, computed with GGA-PBE.

Summary:
- Energy of formation: 0.067 eV/atom
- M_tot: 0.00 μB/f.u.

Geometry as CIF:
```
data_HfAg2Pb
_chemical_formula_sum 'Hf1 Ag2 Pb1'
_symmetry_space_group_name_H-M 'P 1'
_symmetry_Int_Tables_number 1
_symmetry_space_group_name_Hall 'P 1'
_cell_length_a 4.7006
_cell_length_b 4.2156
_cell_length_c 4.2156
_cell_angle_alpha 90.00
_cell_angle_beta 90.00
_cell_angle_gamma 90.00
loop_
_atom_site_label
_atom_site_type_symbol
_atom_site_fract_x
_atom_site_fract_y
_atom_site_fract_z
Pb1 Pb 0.5000 0.0000 0.0000
Ag1 Ag 0.0000 0.0000 0.5000
Hf1 Hf 0.5000 0.5000 0.5000
Ag2 Ag 0.0000 0.5000 0.0000
```

***

[12]
An optimized crystal structure of HfAgPd2Pb, computed with GGA-PBE.

Summary:
- Energy of formation: 0.537 eV/atom
- M_tot: 0.00 μB/f.u.

Geometry as CIF:
```
data_HfAgPd2Pb
_chemical_formula_sum 'Hf1 Ag1 Pd2 Pb1'
_symmetry_space_group_name_H-M 'P 1'
_symmetry_Int_Tables_number 1
_symmetry_space_group_name_Hall 'P 1'
_cell_length_a 4.9246
_cell_length_b 5.3036
_cell_length_c 4.9246
_cell_angle_alpha 90.00
_cell_angle_beta 90.00
_cell_angle_gamma 90.00
loop_
_atom_site_label
_atom_site_type_symbol
_atom_site_fract_x
_atom_site_fract_y
_atom_site_fract_z
Pb1 Pb 0.5000 0.5000 0.5000
Ag1 Ag 0.0000 0.5000 0.0000
Hf1 Hf 0.0000 0.0000 0.0000
Pd1 Pd 0.0000 0.0000 0.5000
Pd2 Pd 0.5000 0.0000 0.0000
```